1.
Density functional theory data (GGA-PBE) for a relaxed structure of Th4Bi2Pd.

Summary:
Calculated volume in Å³/f.u.: 231
DFT total energy in eV per atom: -6.40
ΔE_f in meV/atom: -310.1

abc: 4.2268 7.3143 8.5760
angles: 115.22 104.27 90.00
Fractional coordinates of all 7 atoms:
Th 0.8979 0.2435 0.7958
Th 0.1021 0.7565 0.2042
Th 0.6053 0.2853 0.2106
Th 0.3947 0.7147 0.7894
Bi 0.7524 0.7596 0.5048
Bi 0.2476 0.2404 0.4952
Pd 0.0000 0.0000 0.0000

=====

2.
Density functional theory data (GGA-PBE) for a relaxed structure of Th3BiPd12.

Summary:
Calculated volume in Å³/f.u.: 297
DFT total energy in eV per atom: -6.29
ΔE_f in meV/atom: -766.0

abc: 4.2100 4.2100 16.7542
angles: 90.00 90.00 90.00
Fractional coordinates of all 16 atoms:
Th 0.0000 0.0000 0.2453
Th 0.0000 0.0000 0.5000
Th 0.0000 0.0000 0.7547
Bi 0.0000 0.0000 0.0000
Pd 0.5000 0.5000 0.0000
Pd 0.5000 0.5000 0.2509
Pd 0.5000 0.5000 0.5000
Pd 0.5000 0.5000 0.7491
Pd 0.5000 0.0000 0.1265
Pd 0.5000 0.0000 0.3750
Pd 0.5000 0.0000 0.6250
Pd 0.5000 0.0000 0.8735
Pd 0.0000 0.5000 0.1265
Pd 0.0000 0.5000 0.3750
Pd 0.0000 0.5000 0.6250
Pd 0.0000 0.5000 0.8735

=====

3.
Density functional theory data (GGA-PBE) for a relaxed structure of ThBi4Pd15.

Summary:
Calculated volume in Å³/f.u.: 359
DFT total energy in eV per atom: -5.42
ΔE_f in meV/atom: -373.8

abc: 4.1765 4.1765 20.5979
angles: 90.00 90.00 90.00
Fractional coordinates of all 20 atoms:
Th 0.0000 0.0000 0.0000
Bi 0.0000 0.0000 0.2036
Bi 0.0000 0.0000 0.4009
Bi 0.0000 0.0000 0.5991
Bi 0.0000 0.0000 0.7964
Pd 0.5000 0.5000 0.0000
Pd 0.5000 0.5000 0.2024
Pd 0.5000 0.5000 0.4000
Pd 0.5000 0.5000 0.6000
Pd 0.5000 0.5000 0.7976
Pd 0.5000 0.0000 0.1004
Pd 0.5000 0.0000 0.3015
Pd 0.5000 0.0000 0.5000
Pd 0.5000 0.0000 0.6985
Pd 0.5000 0.0000 0.8996
Pd 0.0000 0.5000 0.1004
Pd 0.0000 0.5000 0.3015
Pd 0.0000 0.5000 0.5000
Pd 0.0000 0.5000 0.6985
Pd 0.0000 0.5000 0.8996

=====

4.
Density functional theory data (GGA-PBE) for a relaxed structure of ThBi2Pd7.

Summary:
Calculated volume in Å³/f.u.: 206
DFT total energy in eV per atom: -5.62
ΔE_f in meV/atom: -465.0

abc: 4.1393 4.1393 12.3648
angles: 99.64 99.64 90.00
Fractional coordinates of all 10 atoms:
Th 0.0000 0.0000 0.0000
Bi 0.6699 0.6699 0.3398
Bi 0.3301 0.3301 0.6602
Pd 0.0879 0.5879 0.1757
Pd 0.4121 0.9121 0.8243
Pd 0.5879 0.0879 0.1757
Pd 0.5000 0.5000 0.0000
Pd 0.7500 0.2500 0.5000
Pd 0.9121 0.4121 0.8243
Pd 0.2500 0.7500 0.5000

=====

5.
Density functional theory data (GGA-PBE) for a relaxed structure of Th4BiPd.

Summary:
Calculated volume in Å³/f.u.: 178
DFT total energy in eV per atom: -6.80
ΔE_f in meV/atom: -337.1

abc: 6.0902 8.9041 8.2823
angles: 114.28 100.54 110.10
Fractional coordinates of all 12 atoms:
Th 0.0571 0.2011 0.8102
Th 0.7731 0.7209 0.6344
Th 0.2532 0.6091 0.8102
Th 0.3613 0.9135 0.6344
Th 0.6387 0.0865 0.3656
Th 0.7468 0.3909 0.1898
Th 0.2269 0.2791 0.3656
Th 0.9429 0.7989 0.1898
Bi 0.3628 0.6128 0.2256
Bi 0.6372 0.3872 0.7744
Pd 0.2560 0.0060 0.0120
Pd 0.7440 0.9940 0.9880

=====

6.
Density functional theory data (GGA-PBE) for a relaxed structure of Ti4Bi2Pd.

Summary:
Calculated volume in Å³/f.u.: 163
DFT total energy in eV per atom: -6.14
ΔE_f in meV/atom: 224.9

abc: 4.6972 4.6972 8.1090
angles: 73.16 73.16 90.00
Site moments in Bohr magnetons follow the coordinates.
Fractional coordinates of all 7 atoms:
Bi 0.6393 0.6393 0.7214  -0.04
Bi 0.3607 0.3607 0.2786  -0.04
Pd 0.0000 0.0000 0.0000  -0.01
Ti 0.8321 0.8321 0.3357  0.69
Ti 0.1679 0.1679 0.6643  0.69
Ti 0.0000 0.5000 0.0000  0.08
Ti 0.5000 0.0000 0.0000  0.08

=====

7.
Density functional theory data (GGA-PBE) for a relaxed structure of Ti2BiPd8.

Summary:
Calculated volume in Å³/f.u.: 180
DFT total energy in eV per atom: -6.03
ΔE_f in meV/atom: -466.4

abc: 4.0314 6.4856 7.4609
angles: 106.11 105.67 90.00
Fractional coordinates of all 11 atoms:
Ti 0.7819 0.3379 0.5637
Ti 0.2181 0.6621 0.4363
Bi 0.5000 0.0000 0.0000
Pd 0.3980 0.5306 0.7959
Pd 0.6828 0.9174 0.3657
Pd 0.8439 0.7754 0.6877
Pd 0.9544 0.2784 0.9089
Pd 0.1561 0.2246 0.3123
Pd 0.3172 0.0826 0.6343
Pd 0.6020 0.4694 0.2041
Pd 0.0456 0.7216 0.0911

=====

8.
Density functional theory data (GGA-PBE) for a relaxed structure of Ti4BiPd.

Summary:
Calculated volume in Å³/f.u.: 108
DFT total energy in eV per atom: -7.01
ΔE_f in meV/atom: -234.0

abc: 3.3816 5.3142 7.1523
angles: 107.82 103.67 108.55
Fractional coordinates of all 6 atoms:
Ti 0.1411 0.9671 0.8186
Ti 0.8546 0.0275 0.1851
Ti 0.6892 0.5254 0.3564
Ti 0.3065 0.4691 0.6474
Bi 0.9979 0.4973 0.0019
Pd 0.4978 0.9973 0.5019

=====

The calculation returns the following size of the total moment values, one per record and in order: 0.01; 0.00; 0.00; 0.00; 0.00; 1.82; 0.00; 0.00 μB per formula unit.